# 1
{
  "formula": "BaZrBe2W",
  "functional": "PBE",
  "state": "relaxed",
  "dos_ef_per_ev_fu": 4.56,
  "energy_ev_per_atom": -4.824,
  "e_form_ev_per_fu": 6.759,
  "lattice": [[-2.6470, 0.8297, -4.2708], [-1.1813, -4.7886, -0.1981], [-4.1765, 0.9158, 2.7665]],
  "species": ["Zr", "Be", "Be", "W", "Ba"],
  "frac_coords": [[0.0000, 0.0000, 0.0000], [0.5000, 0.0000, 0.0000], [0.0000, 0.0000, 0.5000], [0.0000, 0.5000, 0.0000], [0.5000, 0.5000, 0.5000]]
}

***

# 2
{
  "formula": "BaY4Be",
  "functional": "PBE",
  "state": "relaxed",
  "dos_ef_per_ev_fu": 7.88,
  "energy_ev_per_atom": -4.552,
  "e_form_ev_per_fu": 4.191,
  "lattice": [[1.8529, 1.7330, 6.1171], [-0.2560, 6.3496, 1.8633], [-4.5378, 1.9797, 4.3983]],
  "species": ["Y", "Y", "Y", "Y", "Be", "Ba"],
  "frac_coords": [[0.3735, 0.8794, 0.3735], [0.8794, 0.3735, 0.3735], [0.3735, 0.3735, 0.3735], [0.3735, 0.3735, 0.8794], [0.0000, 0.0000, 0.0000], [0.7500, 0.7500, 0.7500]]
}

***

# 3
{
  "formula": "BaYBe2",
  "functional": "PBE",
  "state": "relaxed",
  "polymorph_energy_ev_per_fu": 0.00,
  "dos_ef_per_ev_fu": 4.86,
  "energy_ev_per_atom": -3.717,
  "e_form_ev_per_fu": 0.971,
  "lattice": [[-1.0876, 2.1356, -3.2506], [-3.8903, 0.2149, -1.0628], [-2.5053, 6.9700, 2.9095]],
  "species": ["Be", "Be", "Y", "Ba"],
  "frac_coords": [[0.0513, 0.0513, 0.8476], [0.7184, 0.7184, 0.8467], [0.4543, 0.4543, 0.6389], [0.2760, 0.2760, 0.1669]]
}

***

Q: Which formula does entry 3 have?
A: BaYBe2